Entry 1:
A plane-wave DFT calculation with SCAN was carried out for a PBEsol-optimized structure of BeInOs2.

Unit cell a=4.2994 b=4.2994 c=4.2994 alpha=60.00 beta=60.00 gamma=60.00
Last column: nearest neighbours and their distance in Å.
Sites, in units of the cell vectors:
Be: 0.0000 0.0000 0.0000  8 Os 2.63
In: 0.5000 0.5000 0.5000  8 Os 2.63
Os: 0.2500 0.2500 0.2500  4 In 2.63, 4 Be 2.63
Os: 0.7500 0.7500 0.7500  4 In 2.63, 4 Be 2.63

Computed properties:
calculated formation energy	0.549	eV/atom
spin magnetization	0.000	μB/f.u.
calculated volume	14.05	Å³ per atom
DOS at the Fermi energy	3.91	states/eV/f.u.
E	-44.826	eV/atom
distance to the lowest polymorph of the same formula	27.45	kJ per mole of atoms



Entry 2:
A plane-wave DFT calculation with SCAN was carried out for a PBEsol-optimized structure of BeInOs2.

Unit cell a=4.7616 b=4.7616 c=4.7616 alpha=132.54 beta=132.54 gamma=69.38
Last column: nearest neighbours and their distance in Å.
Sites, in units of the cell vectors:
Be: 0.0000 0.0000 0.0000  4 In 2.71, 8 Os 2.74
In: 0.5000 0.5000 0.0000  4 Be 2.71, 8 Os 2.74
Os: 0.2500 0.7500 0.5000  4 Os 2.71, 4 In 2.74, 4 Be 2.74
Os: 0.7500 0.2500 0.5000  4 Os 2.71, 4 In 2.74, 4 Be 2.74

Computed properties:
calculated formation energy	0.580	eV/atom
spin magnetization	0.000	μB/f.u.
calculated volume	14.38	Å³ per atom
DOS at the Fermi energy	3.68	states/eV/f.u.
E	-44.795	eV/atom
distance to the lowest polymorph of the same formula	30.47	kJ per mole of atoms



Entry 3:
A plane-wave DFT calculation with SCAN was carried out for a PBEsol-optimized structure of BeInP.

Unit cell a=4.3603 b=4.3603 c=4.3603 alpha=60.00 beta=60.00 gamma=60.00
Last column: nearest neighbours and their distance in Å.
Sites, in units of the cell vectors:
Be: 0.0000 0.0000 0.0000  4 In 2.67
In: 0.2500 0.2500 0.2500  4 Be 2.67, 4 P 2.67
P: 0.5000 0.5000 0.5000  4 In 2.67

Computed properties:
calculated formation energy	0.749	eV/atom
spin magnetization	0.000	μB/f.u.
calculated volume	19.54	Å³ per atom
DOS at the Fermi energy	0.50	states/eV/f.u.
E	-15.297	eV/atom
distance to the lowest polymorph of the same formula	78.23	kJ per mole of atoms



Entry 4:
A plane-wave DFT calculation with SCAN was carried out for a PBEsol-optimized structure of BeInP.

Unit cell a=3.6312 b=3.6312 c=4.7544 alpha=90.00 beta=90.00 gamma=120.00
Last column: nearest neighbours and their distance in Å.
Sites, in units of the cell vectors:
Be: 0.0000 0.0000 0.0000  3 P 2.10
In: 0.6667 0.3333 0.5000  6 Be 3.17, 6 P 3.17
P: 0.3333 0.6667 0.0000  3 Be 2.10

Computed properties:
calculated formation energy	-0.062	eV/atom
spin magnetization	0.000	μB/f.u.
calculated volume	18.10	Å³ per atom
DOS at the Fermi energy	0.36	states/eV/f.u.
E	-16.108	eV/atom
distance to the lowest polymorph of the same formula	0.00	kJ per mole of atoms



Entry 5:
A plane-wave DFT calculation with SCAN was carried out for a PBEsol-optimized structure of TiBeIn2P.

Unit cell a=5.2302 b=5.2302 c=4.4592 alpha=90.00 beta=90.00 gamma=90.00
Last column: nearest neighbours and their distance in Å.
Sites, in units of the cell vectors:
Ti: 0.0000 0.0000 0.0000  2 Be 2.23
Be: 0.0000 0.0000 0.5000  2 Ti 2.23
In: 0.0000 0.5000 0.0000  2 Ti 2.62
In: 0.5000 0.0000 0.0000  2 Ti 2.62
P: 0.5000 0.5000 0.5000  8 In 3.44, 4 Be 3.70

Computed properties:
calculated formation energy	1.250	eV/atom
spin magnetization	0.000	μB/f.u.
calculated volume	24.40	Å³ per atom
DOS at the Fermi energy	4.18	states/eV/f.u.
E	-18.261	eV/atom



Entry 6:
A plane-wave DFT calculation with SCAN was carried out for a PBEsol-optimized structure of BeIn2Pb.

Unit cell a=5.0989 b=5.0989 c=5.0989 alpha=60.00 beta=60.00 gamma=60.00
Last column: nearest neighbours and their distance in Å.
Sites, in units of the cell vectors:
Be: 0.0000 0.0000 0.0000  8 In 3.12
In: 0.2500 0.2500 0.2500  4 Pb 3.12, 4 Be 3.12
In: 0.7500 0.7500 0.7500  4 Pb 3.12, 4 Be 3.12
Pb: 0.5000 0.5000 0.5000  8 In 3.12

Computed properties:
calculated formation energy	0.545	eV/atom
spin magnetization	0.000	μB/f.u.
calculated volume	23.44	Å³ per atom
DOS at the Fermi energy	1.37	states/eV/f.u.
E	-36.182	eV/atom
distance to the lowest polymorph of the same formula	25.83	kJ per mole of atoms



Entry 7:
A plane-wave DFT calculation with SCAN was carried out for a PBEsol-optimized structure of BeIn2Pb.

Unit cell a=5.9182 b=5.9182 c=5.9182 alpha=138.08 beta=138.08 gamma=60.78
Last column: nearest neighbours and their distance in Å.
Sites, in units of the cell vectors:
Be: 0.0000 0.0000 0.0000  4 Pb 2.99, 8 In 3.32
In: 0.2500 0.7500 0.5000  4 In 2.99, 4 Pb 3.32, 4 Be 3.32
In: 0.7500 0.2500 0.5000  4 In 2.99, 4 Pb 3.32, 4 Be 3.32
Pb: 0.5000 0.5000 0.0000  4 Be 2.99, 8 In 3.32

Computed properties:
calculated formation energy	0.465	eV/atom
spin magnetization	0.000	μB/f.u.
calculated volume	22.88	Å³ per atom
DOS at the Fermi energy	1.77	states/eV/f.u.
E	-36.262	eV/atom
distance to the lowest polymorph of the same formula	18.17	kJ per mole of atoms



Entry 8:
A plane-wave DFT calculation with SCAN was carried out for a PBEsol-optimized structure of BeInPb2.

Unit cell a=5.3865 b=5.3865 c=5.3865 alpha=126.85 beta=126.85 gamma=78.49
Last column: nearest neighbours and their distance in Å.
Sites, in units of the cell vectors:
Be: 0.0000 0.0000 0.0000  8 Pb 3.19, 4 In 3.41
In: 0.5000 0.5000 0.0000  8 Pb 3.19, 4 Be 3.41
Pb: 0.2500 0.7500 0.5000  4 In 3.19, 4 Be 3.19, 4 Pb 3.41
Pb: 0.7500 0.2500 0.5000  4 In 3.19, 4 Be 3.19, 4 Pb 3.41

Computed properties:
calculated formation energy	0.508	eV/atom
spin magnetization	0.000	μB/f.u.
calculated volume	24.22	Å³ per atom
DOS at the Fermi energy	1.57	states/eV/f.u.
E	-46.818	eV/atom